# Zn2MoCl

An optimized crystal structure of Zn2MoCl (PBE, the Alexandria database).

For the formation energy without anion corrections, the calculation gives 74 kJ/mol of formula units. The total magnetic moment is 0.00 μB per cell. Its final energy is -14.463 eV/f.u.

abc: 2.917 2.917 10.400
angles: 90.00 90.00 120.65
Positions (direct):
Zn1 0.000 0.000 0.976
Zn2 0.500 0.500 0.198
Mo1 0.500 0.500 0.756
Cl1 0.000 0.000 0.569

# FePt14Rh

An optimized crystal structure of FePt14Rh (PBE, the Alexandria database).

The value obtained for the calculated formation energy is -0.036 eV/atom. The total magnetic moment is 6.31 μB per cell. Its final energy is -100.957 eV/f.u.

abc: 5.567 5.567 9.230
angles: 90.00 90.00 119.97
Site moments in Bohr magnetons follow the coordinates.
Positions (direct):
Pt1 0.876 0.124 0.252  0.16
Pt2 0.377 0.623 0.744  0.17
Pt3 0.208 0.792 0.000  0.07
Pt4 0.708 0.292 0.000  0.12
Pt5 0.042 0.457 0.500  0.24
Pt6 0.708 0.791 0.000  0.14
Pt7 0.377 0.623 0.256  0.17
Pt8 0.872 0.625 0.742  0.20
Pt9 0.876 0.124 0.748  0.16
Pt10 0.375 0.128 0.742  0.20
Pt11 0.375 0.128 0.258  0.20
Pt12 0.872 0.625 0.258  0.20
Pt13 0.209 0.292 0.000  0.14
Pt14 0.543 0.958 0.500  0.24
Fe1 0.542 0.458 0.500  3.30
Rh1 0.041 0.959 0.500  0.61

# Tb9Pr4Sm11

An optimized crystal structure of Tb9Pr4Sm11 (PBE, the Alexandria database).

The value obtained for the calculated formation energy is 0.065 eV/atom. The total magnetic moment is 0.00 μB per cell. Its final energy is -111.146 eV/f.u.

abc: 3.728 15.356 15.356
angles: 112.77 90.00 90.00
Positions (direct):
Sm1 0.000 0.635 0.365
Sm2 0.000 0.000 0.000
Sm3 0.000 0.593 0.955
Sm4 0.000 0.365 0.635
Sm5 0.000 0.159 0.841
Sm6 0.000 0.711 0.711
Sm7 0.000 0.407 0.045
Sm8 0.000 0.955 0.593
Sm9 0.000 0.841 0.159
Sm10 0.000 0.045 0.407
Sm11 0.000 0.289 0.289
Tb1 0.500 0.365 0.837
Tb2 0.500 0.635 0.163
Tb3 0.500 0.789 0.935
Tb4 0.500 0.935 0.789
Tb5 0.500 0.065 0.211
Tb6 0.500 0.837 0.365
Tb7 0.500 0.163 0.635
Tb8 0.500 0.500 0.500
Tb9 0.500 0.211 0.065
Pr1 0.500 0.446 0.244
Pr2 0.500 0.244 0.446
Pr3 0.500 0.756 0.554
Pr4 0.500 0.554 0.756

Question: Which formula does entry 1 have?
Answer: Zn2MoCl

Repeat the second record exactly.
# FePt14Rh

An optimized crystal structure of FePt14Rh (PBE, the Alexandria database).

The value obtained for the calculated formation energy is -0.036 eV/atom. The total magnetic moment is 6.31 μB per cell. Its final energy is -100.957 eV/f.u.

abc: 5.567 5.567 9.230
angles: 90.00 90.00 119.97
Site moments in Bohr magnetons follow the coordinates.
Positions (direct):
Pt1 0.876 0.124 0.252  0.16
Pt2 0.377 0.623 0.744  0.17
Pt3 0.208 0.792 0.000  0.07
Pt4 0.708 0.292 0.000  0.12
Pt5 0.042 0.457 0.500  0.24
Pt6 0.708 0.791 0.000  0.14
Pt7 0.377 0.623 0.256  0.17
Pt8 0.872 0.625 0.742  0.20
Pt9 0.876 0.124 0.748  0.16
Pt10 0.375 0.128 0.742  0.20
Pt11 0.375 0.128 0.258  0.20
Pt12 0.872 0.625 0.258  0.20
Pt13 0.209 0.292 0.000  0.14
Pt14 0.543 0.958 0.500  0.24
Fe1 0.542 0.458 0.500  3.30
Rh1 0.041 0.959 0.500  0.61

Copy entry 1 word for word.
# Zn2MoCl

An optimized crystal structure of Zn2MoCl (PBE, the Alexandria database).

For the formation energy without anion corrections, the calculation gives 74 kJ/mol of formula units. The total magnetic moment is 0.00 μB per cell. Its final energy is -14.463 eV/f.u.

abc: 2.917 2.917 10.400
angles: 90.00 90.00 120.65
Positions (direct):
Zn1 0.000 0.000 0.976
Zn2 0.500 0.500 0.198
Mo1 0.500 0.500 0.756
Cl1 0.000 0.000 0.569